A geometry-optimized MgCd structure. Source: OQMD, functional GGA-PBE.

Unit cell a=5.3832 b=12.2832 c=5.1012 alpha=90.00 beta=90.00 gamma=90.00
Fractional positions:
Cd1 0.9918 0.5074 0.0000
Cd2 0.8174 0.3750 0.5000
Cd3 0.9918 0.2426 0.0000
Cd4 0.3415 0.7426 0.5000
Cd5 0.5159 0.8750 0.0000
Cd6 0.8527 0.8750 0.5000
Cd7 0.4807 0.3750 0.0000
Cd8 0.3415 0.0074 0.5000
Mg1 0.4990 0.6240 0.0000
Mg2 0.8344 0.6260 0.5000
Mg3 0.0117 0.7517 0.0000
Mg4 0.4990 0.1260 0.0000
Mg5 0.3216 0.2517 0.5000
Mg6 0.3216 0.4983 0.5000
Mg7 0.8344 0.1240 0.5000
Mg8 0.0117 0.9983 0.0000

DFT total energy in eV per cell: -20.7
Calculated volume in Å³ per atom: 21.08
Space-group type: Pmmn

=====

A geometry-optimized MgCd structure. Source: OQMD, functional GGA-PBE.

Unit cell a=5.4557 b=6.0941 c=5.0333 alpha=90.00 beta=90.00 gamma=90.00
Fractional positions:
Cd1 0.4984 0.7497 0.0000
Cd2 0.8350 0.2497 0.5000
Cd3 0.9984 0.5003 0.0000
Cd4 0.3350 0.0003 0.5000
Mg1 0.0160 0.0002 0.0000
Mg2 0.8174 0.7498 0.5000
Mg3 0.5160 0.2498 0.0000
Mg4 0.3174 0.5002 0.5000

DFT total energy in eV per cell: -10.5
Calculated volume in Å³ per atom: 20.92
Space-group type: Pnma

=====

A geometry-optimized Mg2Cd structure. Source: OQMD, functional GGA-PBE.

Unit cell a=15.9198 b=3.1778 c=5.0405 alpha=90.00 beta=90.00 gamma=90.00
Fractional positions:
Mg1 0.9979 0.0000 0.0000
Mg2 0.1665 0.5000 0.0000
Mg3 0.6665 0.0000 0.0000
Mg4 0.7779 0.0000 0.5000
Mg5 0.2779 0.5000 0.5000
Mg6 0.4979 0.5000 0.0000
Mg7 0.4466 0.0000 0.5000
Mg8 0.9466 0.5000 0.5000
Cd1 0.1098 0.0000 0.5000
Cd2 0.3346 0.0000 0.0000
Cd3 0.6098 0.5000 0.5000
Cd4 0.8346 0.5000 0.0000

DFT total energy in eV per cell: -16.9
Calculated volume in Å³ per atom: 21.25
Space-group type: Cmcm